--- one ---
! PBE-GGA KTcC2, relaxed; values from VASP
! - Space-group type: I-42d (122)
! - Size of the total moment: 0.00 μB per cell
&SYSTEM
  ibrav = 0, nat = 8, ntyp = 3
/
ATOMIC_SPECIES
C 12.01 C.upf
Tc 98.00 Tc.upf
K 39.10 K.upf
ATOMIC_POSITIONS crystal
C 0.375 0.128 0.750
C 0.872 0.125 0.250
C 0.875 0.122 0.750
C 0.878 0.625 0.250
Tc 0.000 0.000 0.000
Tc 0.750 0.250 0.500
K 0.500 0.500 0.000
K 0.250 0.750 0.500
CELL_PARAMETERS angstrom
6.167 0.000 0.000
0.000 6.167 0.000
3.084 3.084 4.379

=====

--- two ---
! PBE-GGA KTcC2, relaxed; values from VASP
! - Space-group type: Fm-3m (225)
! - Size of the total moment: 0.00 μB per cell
&SYSTEM
  ibrav = 0, nat = 4, ntyp = 3
/
ATOMIC_SPECIES
C 12.01 C.upf
K 39.10 K.upf
Tc 98.00 Tc.upf
ATOMIC_POSITIONS crystal
C 0.250 0.250 0.250
C 0.750 0.750 0.750
K 0.000 0.000 0.000
Tc 0.500 0.500 0.500
CELL_PARAMETERS angstrom
-2.917 -2.835 0.670
-3.815 1.173 1.034
-3.094 -0.449 -2.687

=====

What should be chosen as the most stable of them? Choose one.

=====

--- one ---
! PBE-GGA KTcC3, relaxed; values from VASP
! - Space-group type: Pm-3m (221)
! - Size of the total moment: 0.00 μB per cell
&SYSTEM
  ibrav = 0, nat = 5, ntyp = 3
/
ATOMIC_SPECIES
K 39.10 K.upf
Tc 98.00 Tc.upf
C 12.01 C.upf
ATOMIC_POSITIONS crystal
K 0.000 0.000 0.000
Tc 0.500 0.500 0.500
C 0.500 0.000 0.000
C 0.000 0.000 0.500
C 0.000 0.500 0.000
CELL_PARAMETERS angstrom
-0.131 -2.962 2.693
3.861 -0.805 -0.698
1.057 2.573 2.882

=====

--- two ---
! PBE-GGA KTcC3, relaxed; values from VASP
! - Space-group type: Pm-3m (221)
! - Size of the total moment: 1.03 μB per cell
&SYSTEM
  ibrav = 0, nat = 5, ntyp = 3
/
ATOMIC_SPECIES
K 39.10 K.upf
C 12.01 C.upf
Tc 98.00 Tc.upf
ATOMIC_POSITIONS crystal
K 0.500 0.500 0.500
C 0.000 0.000 0.500
C 0.500 0.000 0.000
C 0.000 0.500 0.000
Tc 0.000 0.000 0.000
CELL_PARAMETERS angstrom
4.107 0.000 0.000
0.000 4.107 0.000
0.000 0.000 4.107

=====

What should be chosen as the most stable of them? Choose two.

=====

--- one ---
! PBE-GGA KTiC2, relaxed; values from VASP
! - Space-group type: Fm-3m (225)
! - Size of the total moment: 0.00 μB per cell
&SYSTEM
  ibrav = 0, nat = 4, ntyp = 3
/
ATOMIC_SPECIES
K 39.10 K.upf
C 12.01 C.upf
Ti 47.87 Ti.upf
ATOMIC_POSITIONS crystal
K 0.000 0.000 0.000
C 0.250 0.250 0.250
C 0.750 0.750 0.750
Ti 0.500 0.500 0.500
CELL_PARAMETERS angstrom
2.122 -2.593 2.550
-0.737 0.055 4.146
-1.977 -3.237 1.830

=====

--- two ---
! PBE-GGA KTiC2, relaxed; values from VASP
! - Space-group type: I4_1/amd (141)
! - Size of the total moment: 0.00 μB per cell
&SYSTEM
  ibrav = 0, nat = 8, ntyp = 3
/
ATOMIC_SPECIES
Ti 47.87 Ti.upf
C 12.01 C.upf
K 39.10 K.upf
ATOMIC_POSITIONS crystal
Ti 0.000 0.000 0.000
Ti 0.750 0.250 0.500
C 0.875 0.126 0.750
C 0.375 0.124 0.750
C 0.876 0.125 0.250
C 0.874 0.625 0.250
K 0.500 0.500 0.000
K 0.250 0.750 0.500
CELL_PARAMETERS angstrom
5.135 0.000 0.000
0.000 5.135 0.000
2.568 2.568 6.238

=====

What should be chosen as the most stable of them? Choose two.

=====

--- one ---
! PBE-GGA KTlC2, relaxed; values from VASP
! - Space-group type: I4_1/amd (141)
! - Size of the total moment: 0.00 μB per cell
&SYSTEM
  ibrav = 0, nat = 8, ntyp = 3
/
ATOMIC_SPECIES
C 12.01 C.upf
K 39.10 K.upf
Tl 204.38 Tl.upf
ATOMIC_POSITIONS crystal
C 0.875 0.625 0.250
C 0.875 0.125 0.250
C 0.375 0.125 0.750
C 0.875 0.125 0.750
K 0.250 0.750 0.500
K 0.500 0.500 0.000
Tl 0.750 0.250 0.500
Tl 0.000 0.000 0.000
CELL_PARAMETERS angstrom
-4.066 -1.276 1.998
-1.964 -0.408 -4.258
-0.829 -8.273 -1.427

=====

--- two ---
! PBE-GGA KTlC2, relaxed; values from VASP
! - Space-group type: Fm-3m (225)
! - Size of the total moment: 0.00 μB per cell
&SYSTEM
  ibrav = 0, nat = 4, ntyp = 3
/
ATOMIC_SPECIES
C 12.01 C.upf
K 39.10 K.upf
Tl 204.38 Tl.upf
ATOMIC_POSITIONS crystal
C 0.250 0.250 0.250
C 0.750 0.750 0.750
K 0.000 0.000 0.000
Tl 0.500 0.500 0.500
CELL_PARAMETERS angstrom
-1.350 -4.061 1.652
-2.446 -0.201 3.876
-4.432 -1.175 -0.143

=====

What should be chosen as the most stable of them? Choose one.

=====

--- one ---
! PBE-GGA KTl2C, relaxed; values from VASP
! - Space-group type: I-42d (122)
! - Size of the total moment: 0.00 μB per cell
&SYSTEM
  ibrav = 0, nat = 8, ntyp = 3
/
ATOMIC_SPECIES
C 12.01 C.upf
K 39.10 K.upf
Tl 204.38 Tl.upf
ATOMIC_POSITIONS crystal
C 0.500 0.500 0.000
C 0.250 0.750 0.500
K 0.750 0.250 0.500
K 0.000 0.000 0.000
Tl 0.875 0.758 0.750
Tl 0.375 0.492 0.750
Tl 0.242 0.625 0.250
Tl 0.508 0.125 0.250
CELL_PARAMETERS angstrom
-6.151 0.344 -5.332
2.268 -7.194 -3.081
-3.941 -4.999 -2.002

=====

--- two ---
! PBE-GGA KTl2C, relaxed; values from VASP
! - Space-group type: Fm-3m (225)
! - Size of the total moment: 0.00 μB per cell
&SYSTEM
  ibrav = 0, nat = 4, ntyp = 3
/
ATOMIC_SPECIES
Tl 204.38 Tl.upf
C 12.01 C.upf
K 39.10 K.upf
ATOMIC_POSITIONS crystal
Tl 0.750 0.750 0.750
Tl 0.250 0.250 0.250
C 0.000 0.000 0.000
K 0.500 0.500 0.500
CELL_PARAMETERS angstrom
4.306 -2.915 0.427
2.853 0.185 4.364
0.073 -4.086 3.244

=====

What should be chosen as the most stable of them? Choose one.

=====

--- one ---
! PBE-GGA KVC3, relaxed; values from VASP
! - Space-group type: Pm-3m (221)
! - Size of the total moment: 1.90 μB per cell
&SYSTEM
  ibrav = 0, nat = 5, ntyp = 3
/
ATOMIC_SPECIES
V 50.94 V.upf
C 12.01 C.upf
K 39.10 K.upf
ATOMIC_POSITIONS crystal
V 0.500 0.500 0.500
C 0.500 0.000 0.000
C 0.000 0.000 0.500
C 0.000 0.500 0.000
K 0.000 0.000 0.000
CELL_PARAMETERS angstrom
-3.091 2.134 1.738
-2.133 -3.509 0.516
1.740 -0.510 3.720

=====

--- two ---
! PBE-GGA KVC3, relaxed; values from VASP
! - Space-group type: Pm-3m (221)
! - Size of the total moment: 0.00 μB per cell
&SYSTEM
  ibrav = 0, nat = 5, ntyp = 3
/
ATOMIC_SPECIES
C 12.01 C.upf
K 39.10 K.upf
V 50.94 V.upf
ATOMIC_POSITIONS crystal
C 0.000 0.000 0.500
C 0.000 0.500 0.000
C 0.500 0.000 0.000
K 0.500 0.500 0.500
V 0.000 0.000 0.000
CELL_PARAMETERS angstrom
-0.715 -2.918 2.693
3.439 0.913 1.902
-1.985 2.633 2.325

=====

What should be chosen as the most stable of them? Choose two.

=====

--- one ---
! PBE-GGA KV3C, relaxed; values from VASP
! - Space-group type: Pm-3m (221)
! - Size of the total moment: 0.00 μB per cell
&SYSTEM
  ibrav = 0, nat = 5, ntyp = 3
/
ATOMIC_SPECIES
K 39.10 K.upf
C 12.01 C.upf
V 50.94 V.upf
ATOMIC_POSITIONS crystal
K 0.000 0.000 0.000
C 0.500 0.500 0.500
V 0.000 0.500 0.000
V 0.500 0.000 0.000
V 0.000 0.000 0.500
CELL_PARAMETERS angstrom
-3.471 -0.413 2.314
-1.058 -3.410 -2.196
2.099 -2.403 2.720

=====

--- two ---
! PBE-GGA KV3C, relaxed; values from VASP
! - Space-group type: Pm-3m (221)
! - Size of the total moment: 0.09 μB per cell
&SYSTEM
  ibrav = 0, nat = 5, ntyp = 3
/
ATOMIC_SPECIES
V 50.94 V.upf
K 39.10 K.upf
C 12.01 C.upf
ATOMIC_POSITIONS crystal
V 0.000 0.000 0.500
V 0.500 0.000 0.000
V 0.000 0.500 0.000
K 0.500 0.500 0.500
C 0.000 0.000 0.000
CELL_PARAMETERS angstrom
4.225 0.000 0.000
0.000 4.225 0.000
0.000 0.000 4.225

=====

What should be chosen as the most stable of them? Choose two.

=====

--- one ---
! PBE-GGA KWC3, relaxed; values from VASP
! - Space-group type: Pm-3m (221)
! - Size of the total moment: 1.07 μB per cell
&SYSTEM
  ibrav = 0, nat = 5, ntyp = 3
/
ATOMIC_SPECIES
C 12.01 C.upf
K 39.10 K.upf
W 183.84 W.upf
ATOMIC_POSITIONS crystal
C 0.500 0.000 0.000
C 0.000 0.000 0.500
C 0.000 0.500 0.000
K 0.000 0.000 0.000
W 0.500 0.500 0.500
CELL_PARAMETERS angstrom
-3.042 -1.727 -1.852
2.493 -2.547 -1.721
-0.440 -2.489 3.045

=====

--- two ---
! PBE-GGA KWC3, relaxed; values from VASP
! - Space-group type: Pm-3m (221)
! - Size of the total moment: 0.00 μB per cell
&SYSTEM
  ibrav = 0, nat = 5, ntyp = 3
/
ATOMIC_SPECIES
W 183.84 W.upf
C 12.01 C.upf
K 39.10 K.upf
ATOMIC_POSITIONS crystal
W 0.000 0.000 0.000
C 0.000 0.500 0.000
C 0.500 0.000 0.000
C 0.000 0.000 0.500
K 0.500 0.500 0.500
CELL_PARAMETERS angstrom
-3.208 0.195 2.694
-2.701 -0.180 -3.203
-0.033 -4.186 0.263

=====

What should be chosen as the most stable of them? Choose two.